Entry 1:
# Li13Au2

A relaxed structure of Li13Au2 (PBE, Alexandria).

Lattice parameters (Å, degrees): 5.010 7.419 7.812 66.04 89.57 83.60
Space group P-1 (No. 2)
One atom of each set of equivalent atoms:
Li (0.000, 0.000, 0.000) (multiplicity 1)
Li (0.142, 0.501, 0.735) (multiplicity 2)
Li (0.221, 0.192, 0.191) (multiplicity 2)
Li (0.243, 0.932, 0.596) (multiplicity 2)
Li (0.306, 0.645, 0.034) (multiplicity 2)
Li (0.359, 0.383, 0.441) (multiplicity 2)
Li (0.436, 0.134, 0.802) (multiplicity 2)
Au (0.100, 0.768, 0.361) (multiplicity 2)

Summary:
Calculated volume (A^3/atom): 17.6
Mass density (g/cm3): 3.1
N(E_F) (states/eV/f.u.): 5.5
ΔH_f (0 K) (eV per atom): -0.198
Total DFT energy (no corrections) (eV per atom): -2.2932

=====

Entry 2:
# Sb2RhPb

A relaxed structure of Sb2RhPb (PBE, Alexandria).

Lattice parameters (Å, degrees): 9.098 3.645 6.707 90.00 109.83 90.00
Space group Cm (No. 8)
One atom of each set of equivalent atoms:
Sb (0.000, 0.000, 0.000) (multiplicity 2)
Sb (0.154, 0.000, 0.642) (multiplicity 2)
Rh (0.198, 0.500, 0.951) (multiplicity 2)
Pb (0.359, 0.000, 0.342) (multiplicity 2)

Summary:
E_form (uncorrected) (eV per atom): -0.117
Calculated volume (A^3/atom): 26.2
Mass density (g/cm3): 8.8
N(E_F) (states/eV/f.u.): 1.8
Total DFT energy (no corrections) (eV per atom): -4.9429

=====

Entry 3:
# Mo2PAu

A relaxed structure of Mo2PAu (PBE, Alexandria).

Lattice parameters (Å, degrees): 3.4863 3.4863 19.4933 90.00 90.00 120.00
Space group R-3m (No. 166, hexagonal axes)
One atom of each set of equivalent atoms:
Mo (0.0000, 0.0000, 0.2277) (multiplicity 6)
P (0.0000, 0.0000, 0.5000) (multiplicity 3)
Au (0.0000, 0.0000, 0.0000) (multiplicity 3)

Summary:
Calculated volume (A^3/atom): 17.1
Mass density (g/cm3): 10.2
N(E_F) (states/eV/f.u.): 3.6
ΔH_f (0 K) (eV per atom): 0.091
Total DFT energy (no corrections) (eV per atom): -7.4961